Entry from the Alexandria database: an optimized crystal structure of TlGeAs2 (PBE).

## Properties
The relative energy among the computed polymorphs is 57.3 meV per atom. The value obtained for the formation energy is 0.155 eV per atom.

Cell: 3.8106 3.8106 7.7482 Å, 104.21 104.21 59.69°
Closest atoms and distances in Å follow each position.
Atoms (fractional coordinates):
Tl 0.0000 0.0000 0.0000  6 As 3.11-3.14
Ge 0.8310 0.8310 0.4971  6 As 2.64-2.69
As 0.2334 0.2334 0.7036  3 Ge 2.68-2.69
As 0.4331 0.4331 0.3000  3 Ge 2.64